# 1
{"formula": "PmCd2Ge", "functional": "GGA-PBE", "state": "optimized geometry", "lattice": [[-2.4403, 1.9911, 0.8413], [-3.0908, -0.9909, -0.3038], [-1.5669, -3.7114, 10.5557]], "species": ["Ge", "Cd", "Cd", "Pm"], "frac_coords": [[0.5000, 0.5000, 0.5000], [0.0952, 0.0952, 0.7145], [0.9048, 0.9048, 0.2855], [0.0000, 0.0000, 0.0000]], "ef_mev_per_atom": 253.1, "n_ef_per_ev_fu": 2.69, "relative_energy_mev_per_atom": 665, "e_tot_ev_per_atom": -2.55, "sg": "R-3m, No. 166"}

=====

# 2
{"formula": "Pm3CdGe2", "functional": "GGA-PBE", "state": "optimized geometry", "lattice": [[4.3443, 0.0000, -1.3743], [0.0000, 4.2545, 0.0000], [0.2124, 0.0000, 8.2252]], "species": ["Pm", "Pm", "Pm", "Cd", "Ge", "Ge"], "frac_coords": [[0.3291, 0.0000, 0.6583], [0.6709, 0.0000, 0.3417], [0.5000, 0.5000, 0.0000], [0.0000, 0.0000, 0.0000], [0.1450, 0.5000, 0.2900], [0.8550, 0.5000, 0.7100]], "ef_mev_per_atom": -513.5, "n_ef_per_ev_fu": 2.96, "e_tot_ev_per_atom": -4.58, "sg": "Cmmm, No. 65"}

=====

# 3
{"formula": "PmPrCdGe", "functional": "GGA-PBE", "state": "optimized geometry", "lattice": [[-0.4122, -4.7831, -2.2653], [4.0653, -1.9786, -2.7819], [2.7848, -4.0932, 1.9159]], "species": ["Pr", "Ge", "Cd", "Pm"], "frac_coords": [[0.5000, 0.5000, 0.5000], [0.7500, 0.7500, 0.7500], [0.2500, 0.2500, 0.2500], [0.0000, 0.0000, 0.0000]], "ef_mev_per_atom": -486.5, "n_ef_per_ev_fu": 3.39, "e_tot_ev_per_atom": -4.25, "sg": "F-43m, No. 216"}